This record from the Alexandria database describes a relaxed structure of NbSn3Br. The functional is GGA-PBE.

Structure (POSCAR):
```
NbSn3Br
1.0
5.425 0.000 0.000
0.000 5.425 0.000
0.000 0.000 5.425
Sn Nb Br
3 1 1
Cartesian
0.000 2.712 0.000
0.000 0.000 2.712
2.712 0.000 0.000
0.000 0.000 0.000
2.712 2.712 2.712
```

The space group is Pm-3m (221). The total DFT energy (no corrections) comes out at -4.583 eV/atom. As for the relative energy among the computed polymorphs: 0.0 kJ per mole of atoms.